Compound: CaSmTh2N4
Source: the Alexandria database
Functional: PBE-GGA
Structure: relaxed

Cell and atoms, written as CIF:
```
data_CaSmTh2N4
_space_group_name_H-M_alt 'P 1 2/m 1'
_space_group_IT_number 10
_cell_length_a 6.2238
_cell_length_b 3.6525
_cell_length_c 6.3141
_cell_angle_alpha 90.00
_cell_angle_beta 109.64
_cell_angle_gamma 90.00
loop_
_space_group_symop_operation_xyz
'x,y,z'
'-x,-y,-z'
'-x,y,-z'
'x,-y,z'
loop_
_atom_site_label
_atom_site_fract_x
_atom_site_fract_y
_atom_site_fract_z
_atom_site_occupancy
Ca1 0.0000 0.0000 0.0000 1
Sm1 0.0000 0.5000 0.5000 1
Th1 0.5000 0.0000 0.5000 1
Th2 0.5000 0.5000 0.0000 1
N1 0.2613 0.0000 0.7511 1
N2 0.2703 0.5000 0.2609 1
```

Summary:
- M_tot (μB/atom) = 0.000
- energy relative to the elements, uncorrected (eV/atom) = -1.476
- calculated density (g/cm3) = 8.73